Ac2PrTl | GGA-PBE | relaxed

## Properties
SG: Fm-3m, No. 225
energy: -0.1416 hartree per atom

Lattice parameters (Å, degrees): 5.947 5.947 5.947 60.00 60.00 60.00
Last column: magnetic moment on the atom in μB.
Element x y z (fractional)
Tl (0.500, 0.500, 0.500)  0.00
Ac (0.250, 0.250, 0.250)  0.06
Ac (0.750, 0.750, 0.750)  0.06
Pr (0.000, 0.000, 0.000)  0.14